No. 1
A relaxed structure of RbTl2Cu2. Source: Alexandria, functional PBE-GGA.

The value obtained for the volume is 26.15 Å³ per atom. The crystal system is tetragonal. The distance to the lowest polymorph of the same formula comes out at 119.5 meV per atom. Its formation enthalpy at 0 K is 28.4 kJ per mole of atoms. As for the density of states at the Fermi level: 2.15 states/eV/f.u.

It has space group P4/mbm (No. 127), with a = 8.442 Å, b = 8.442 Å, c = 3.670 Å, α = 90.00°, β = 90.00° and γ = 90.00°. The distinct sites, in fractional coordinates, are Rb at (0.000, 0.000, 0.000), Tl at (0.160, 0.340, 0.500) and Cu at (0.105, 0.605, 0.000).

No. 2
A relaxed structure of RbTlCu2. Source: Alexandria, functional PBE-GGA.

The value obtained for the volume is 25.41 Å³ per atom. The crystal system is cubic. The distance to the lowest polymorph of the same formula comes out at 236.4 meV per atom. Its formation enthalpy at 0 K is 54.4 kJ per mole of atoms. As for the density of states at the Fermi level: 1.40 states/eV/f.u.

It has space group Fm-3m (No. 225), with a = 7.408 Å, b = 7.408 Å, c = 7.408 Å, α = 90.00°, β = 90.00° and γ = 90.00°. The distinct sites, in fractional coordinates, are Rb at (0.000, 0.000, 0.000), Tl at (0.000, 0.000, 0.500) and Cu at (0.250, 0.250, 0.250).